(1)
A relaxed structure of La2CuSb, computed with PBE.

```
La2CuSb
1.0
-1.870 -1.684 -3.692
-2.709 -3.542 0.283
-7.274 2.727 -0.261
Cu La Sb
1 2 1
Direct
0.250 0.250 0.250
0.996 0.996 0.013
0.504 0.504 0.487
0.750 0.750 0.750
```

final energy: -5.061 eV/atom
energy relative to the elements, uncorrected: -0.543 eV/atom
SG: R-3m, No. 166

(2)
A relaxed structure of LaCu2Sb, computed with PBE.

```
LaCu2Sb
1.0
-4.282 1.849 -1.767
1.086 -1.873 -4.493
-0.055 -2.998 3.986
Cu La Sb
2 1 1
Direct
0.000 0.000 0.000
0.750 0.250 0.500
0.500 0.500 0.000
0.250 0.750 0.500
```

final energy: -4.459 eV/atom
energy relative to the elements, uncorrected: -0.148 eV/atom
SG: I-4m2, No. 119

(3)
A relaxed structure of La2CuSb, computed with PBE.

```
La2CuSb
1.0
5.256 0.000 0.000
0.000 5.256 0.000
0.000 0.000 4.045
Cu La Sb
1 2 1
Direct
0.000 0.500 0.500
0.000 0.000 0.000
0.500 0.500 0.000
0.500 0.000 0.500
```

final energy: -5.112 eV/atom
energy relative to the elements, uncorrected: -0.594 eV/atom
SG: P4/mmm, No. 123

(4)
A relaxed structure of La2CuSb2, computed with PBE.

```
La2CuSb2
1.0
8.216 0.000 0.000
0.000 8.216 0.000
0.000 0.000 4.536
Sb Cu La
4 2 4
Direct
0.127 0.627 0.500
0.627 0.873 0.500
0.873 0.373 0.500
0.373 0.127 0.500
0.000 0.000 0.000
0.500 0.500 0.000
0.323 0.823 0.000
0.823 0.677 0.000
0.677 0.177 0.000
0.177 0.323 0.000
```

energy above the most stable polymorph in this dataset: 85.3 meV per atom
final energy: -5.023 eV/atom
energy relative to the elements, uncorrected: -0.584 eV/atom
SG: P4/mbm, No. 127

Which of these has the lowest final energy? number 3

What is the formula in the second record? LaCu2Sb